PuZn3Au: optimized geometry, GGA-PBE.

Magnetization ... 5.4 Bohr magnetons per cell
Distance to the lowest polymorph of the same formula ... 0 meV per atom
Crystal system ... monoclinic
Energy of formation from the pure elements ... -4.71 kcal/mol of atoms

Unit cell a=5.0314 b=5.0314 c=4.8564 alpha=118.52 beta=118.52 gamma=76.46
Element x y z (fractional)
Pu  0.0000  0.0000  0.0000
Zn  0.2963  0.2963  0.7914
Zn  0.3096  0.7052  0.5078
Zn  0.7052  0.3096  0.5078
Au  0.7007  0.7007  0.2040